No. 1
# Pa2InSe6 | Alexandria | PBE | relaxed
data_Pa2InSe6
_cell_length_a 6.703
_cell_length_b 7.173
_cell_length_c 11.318
_cell_angle_alpha 90.00
_cell_angle_beta 120.09
_cell_angle_gamma 90.00
_symmetry_space_group_name_H-M 'P 1 21/c 1'
_symmetry_Int_Tables_number 14
loop_
_symmetry_equiv_pos_as_xyz
'x,y,z'
'-x,-y,-z'
'-x,y+1/2,-z+1/2'
'x,-y+1/2,z+1/2'
loop_
_atom_site_label
_atom_site_type_symbol
_atom_site_fract_x
_atom_site_fract_y
_atom_site_fract_z
_atom_site_occupancy
Pa1 Pa 0.168 0.125 0.227 1
In1 In 0.500 0.000 0.000 1
Se1 Se 0.099 0.187 0.939 1
Se2 Se 0.239 0.663 0.920 1
Se3 Se 0.431 0.061 0.745 1
# VASP energy = -5.770 eV/atom
# ΔE to the lowest computed polymorph = 79 meV per atom

No. 2
# PaInSe | Alexandria | PBE | relaxed
data_PaInSe
_cell_length_a 14.235
_cell_length_b 3.518
_cell_length_c 6.160
_cell_angle_alpha 90.00
_cell_angle_beta 90.00
_cell_angle_gamma 90.00
_symmetry_space_group_name_H-M 'A m m 2'
_symmetry_Int_Tables_number 38
loop_
_symmetry_equiv_pos_as_xyz
'x,y,z'
'-x,-y,z'
'-x,y,z'
'x,-y,z'
'x,y+1/2,z+1/2'
'-x,-y+1/2,z+1/2'
'-x,y+1/2,z+1/2'
'x,-y+1/2,z+1/2'
loop_
_atom_site_label
_atom_site_type_symbol
_atom_site_fract_x
_atom_site_fract_y
_atom_site_fract_z
_atom_site_occupancy
Pa1 Pa 0.000 0.000 0.000 1
Pa2 Pa 0.500 0.000 0.122 1
In1 In 0.184 0.000 0.324 1
Se1 Se 0.358 0.000 0.794 1
# VASP energy = -5.647 eV/atom
# ΔE to the lowest computed polymorph = 350 meV per atom

No. 3
# Pa2InSe5 | Alexandria | PBE | relaxed
data_Pa2InSe5
_cell_length_a 7.943
_cell_length_b 12.458
_cell_length_c 3.955
_cell_angle_alpha 90.00
_cell_angle_beta 90.00
_cell_angle_gamma 90.00
_symmetry_space_group_name_H-M 'P b a m'
_symmetry_Int_Tables_number 55
loop_
_symmetry_equiv_pos_as_xyz
'x,y,z'
'-x,-y,-z'
'-x,-y,z'
'x,y,-z'
'x+1/2,-y+1/2,-z'
'-x+1/2,y+1/2,z'
'-x+1/2,y+1/2,-z'
'x+1/2,-y+1/2,z'
loop_
_atom_site_label
_atom_site_type_symbol
_atom_site_fract_x
_atom_site_fract_y
_atom_site_fract_z
_atom_site_occupancy
Pa1 Pa 0.018 0.175 0.000 1
In1 In 0.000 0.500 0.500 1
Se1 Se 0.000 0.000 0.500 1
Se2 Se 0.167 0.391 0.000 1
Se3 Se 0.189 0.695 0.500 1
# VASP energy = -5.977 eV/atom

No. 4
# Pa2In2Se7 | Alexandria | PBE | relaxed
data_Pa2In2Se7
_cell_length_a 8.679
_cell_length_b 10.021
_cell_length_c 7.346
_cell_angle_alpha 90.00
_cell_angle_beta 90.00
_cell_angle_gamma 90.00
_symmetry_space_group_name_H-M 'C m m m'
_symmetry_Int_Tables_number 65
_symmetry_space_group_name_Hall '-C 2 2'
loop_
_atom_site_label
_atom_site_type_symbol
_atom_site_fract_x
_atom_site_fract_y
_atom_site_fract_z
_atom_site_occupancy
Pa1 Pa 0.000 0.223 0.000 1
In1 In 0.209 0.500 0.500 1
Se1 Se 0.000 0.000 0.239 1
Se2 Se 0.000 0.500 0.000 1
Se3 Se 0.250 0.250 0.249 1
# VASP energy = -5.321 eV/atom

No. 5
# PaInSe2 | Alexandria | PBE | relaxed
data_PaInSe2
_cell_length_a 3.9631
_cell_length_b 3.9631
_cell_length_c 25.3316
_cell_angle_alpha 90.00
_cell_angle_beta 90.00
_cell_angle_gamma 120.00
_symmetry_space_group_name_H-M 'R 3 m'
_symmetry_Int_Tables_number 160
_symmetry_space_group_name_Hall 'R 3 -2"'
loop_
_atom_site_label
_atom_site_type_symbol
_atom_site_fract_x
_atom_site_fract_y
_atom_site_fract_z
_atom_site_occupancy
Pa1 Pa 0.0000 0.0000 0.0000 1
In1 In 0.0000 0.0000 0.8352 1
Se1 Se 0.0000 0.0000 0.4031 1
Se2 Se 0.0000 0.0000 0.5965 1
# VASP energy = -5.687 eV/atom

No. 6
# Pa2InSe | Alexandria | PBE | relaxed
data_Pa2InSe
_cell_length_a 3.421
_cell_length_b 3.421
_cell_length_c 8.194
_cell_angle_alpha 90.00
_cell_angle_beta 90.00
_cell_angle_gamma 90.00
_symmetry_space_group_name_H-M 'P 4/m m m'
_symmetry_Int_Tables_number 123
_symmetry_space_group_name_Hall '-P 4 2'
loop_
_atom_site_label
_atom_site_type_symbol
_atom_site_fract_x
_atom_site_fract_y
_atom_site_fract_z
_atom_site_occupancy
Pa1 Pa 0.000 0.000 0.223 1
In1 In 0.500 0.500 0.500 1
Se1 Se 0.500 0.500 0.000 1
# VASP energy = -6.756 eV/atom
# ΔE to the lowest computed polymorph = 0 meV per atom

No. 7
# PaInSe6 | Alexandria | PBE | relaxed
data_PaInSe6
_cell_length_a 10.814
_cell_length_b 10.814
_cell_length_c 10.814
_cell_angle_alpha 90.00
_cell_angle_beta 90.00
_cell_angle_gamma 90.00
_symmetry_space_group_name_H-M 'F m -3 m'
_symmetry_Int_Tables_number 225
_symmetry_space_group_name_Hall '-F 4 2 3'
loop_
_atom_site_label
_atom_site_type_symbol
_atom_site_fract_x
_atom_site_fract_y
_atom_site_fract_z
_atom_site_occupancy
Pa1 Pa 0.000 0.000 0.000 1
In1 In 0.000 0.000 0.500 1
Se1 Se 0.000 0.000 0.249 1
# VASP energy = -4.359 eV/atom

No. 8
# Pa2InSe4 | Alexandria | PBE | relaxed
data_Pa2InSe4
_cell_length_a 8.685
_cell_length_b 8.685
_cell_length_c 12.226
_cell_angle_alpha 90.00
_cell_angle_beta 90.00
_cell_angle_gamma 90.00
_symmetry_space_group_name_H-M 'I 41/a m d'
_symmetry_Int_Tables_number 141
loop_
_symmetry_equiv_pos_as_xyz
'x,y,z'
'-x,-y,-z'
'-y+1/4,x+3/4,z+1/4'
'y+1/4,-x+3/4,-z+1/4'
'-x+1/2,-y,z+1/2'
'x+1/2,y,-z+1/2'
'y+1/4,-x+1/4,z+3/4'
'-y+1/4,x+1/4,-z+3/4'
'x,-y,-z'
'-x,y,z'
'-y+1/4,-x+1/4,-z+3/4'
'y+1/4,x+1/4,z+3/4'
'-x+1/2,y,-z+1/2'
'x+1/2,-y,z+1/2'
'y+1/4,x+3/4,-z+1/4'
'-y+1/4,-x+3/4,z+1/4'
'x+1/2,y+1/2,z+1/2'
'-x+1/2,-y+1/2,-z+1/2'
'-y+3/4,x+1/4,z+3/4'
'y+3/4,-x+1/4,-z+3/4'
'-x,-y+1/2,z'
'x,y+1/2,-z'
'y+3/4,-x+3/4,z+1/4'
'-y+3/4,x+3/4,-z+1/4'
'x+1/2,-y+1/2,-z+1/2'
'-x+1/2,y+1/2,z+1/2'
'-y+3/4,-x+3/4,-z+1/4'
'y+3/4,x+3/4,z+1/4'
'-x,y+1/2,-z'
'x,-y+1/2,z'
'y+3/4,x+1/4,-z+3/4'
'-y+3/4,-x+1/4,z+3/4'
loop_
_atom_site_label
_atom_site_type_symbol
_atom_site_fract_x
_atom_site_fract_y
_atom_site_fract_z
_atom_site_occupancy
Pa1 Pa 0.000 0.000 0.000 1
In1 In 0.000 0.250 0.375 1
Se1 Se 0.000 0.030 0.764 1
# VASP energy = -6.113 eV/atom

No. 9
# PaInSe | Alexandria | PBE | relaxed
data_PaInSe
_cell_length_a 4.112
_cell_length_b 4.112
_cell_length_c 17.161
_cell_angle_alpha 90.00
_cell_angle_beta 90.00
_cell_angle_gamma 90.00
_symmetry_space_group_name_H-M 'I 4/m m m'
_symmetry_Int_Tables_number 139
_symmetry_space_group_name_Hall '-I 4 2'
loop_
_atom_site_label
_atom_site_type_symbol
_atom_site_fract_x
_atom_site_fract_y
_atom_site_fract_z
_atom_site_occupancy
Pa1 Pa 0.000 0.000 0.153 1
In1 In 0.000 0.500 0.000 1
Se1 Se 0.000 0.000 0.323 1
# VASP energy = -5.997 eV/atom
# ΔE to the lowest computed polymorph = 0 meV per atom

No. 10
# Pa2InSe | Alexandria | PBE | relaxed
data_Pa2InSe
_cell_length_a 4.4148
_cell_length_b 4.4148
_cell_length_c 18.8712
_cell_angle_alpha 90.00
_cell_angle_beta 90.00
_cell_angle_gamma 120.00
_symmetry_space_group_name_H-M 'R -3 m'
_symmetry_Int_Tables_number 166
_symmetry_space_group_name_Hall '-R 3 2"'
loop_
_atom_site_label
_atom_site_type_symbol
_atom_site_fract_x
_atom_site_fract_y
_atom_site_fract_z
_atom_site_occupancy
Pa1 Pa 0.0000 0.0000 0.2385 1
In1 In 0.0000 0.0000 0.0000 1
Se1 Se 0.0000 0.0000 0.5000 1
# VASP energy = -6.651 eV/atom
# ΔE to the lowest computed polymorph = 105 meV per atom

No. 11
# PaIn2SnSe4 | Alexandria | PBE | relaxed
data_PaIn2SnSe4
_cell_length_a 7.477
_cell_length_b 4.213
_cell_length_c 7.965
_cell_angle_alpha 90.00
_cell_angle_beta 107.03
_cell_angle_gamma 90.00
_symmetry_space_group_name_H-M 'P 1 2/m 1'
_symmetry_Int_Tables_number 10
loop_
_symmetry_equiv_pos_as_xyz
'x,y,z'
'-x,-y,-z'
'-x,y,-z'
'x,-y,z'
loop_
_atom_site_label
_atom_site_type_symbol
_atom_site_fract_x
_atom_site_fract_y
_atom_site_fract_z
_atom_site_occupancy
Pa1 Pa 0.000 0.000 0.000 1
In1 In 0.000 0.500 0.500 1
In2 In 0.500 0.000 0.500 1
Sn1 Sn 0.500 0.500 0.000 1
Se1 Se 0.223 0.500 0.210 1
Se2 Se 0.242 0.000 0.785 1
# VASP energy = -4.831 eV/atom

No. 12
# Sr2PaInSe6 | Alexandria | PBE | relaxed
data_Sr2PaInSe6
_cell_length_a 7.474
_cell_length_b 7.474
_cell_length_c 5.817
_cell_angle_alpha 90.00
_cell_angle_beta 90.00
_cell_angle_gamma 90.00
_symmetry_space_group_name_H-M 'P 4 m m'
_symmetry_Int_Tables_number 99
loop_
_symmetry_equiv_pos_as_xyz
'x,y,z'
'-y,x,z'
'-x,-y,z'
'y,-x,z'
'-x,y,z'
'y,x,z'
'x,-y,z'
'-y,-x,z'
loop_
_atom_site_label
_atom_site_type_symbol
_atom_site_fract_x
_atom_site_fract_y
_atom_site_fract_z
_atom_site_occupancy
Sr1 Sr 0.000 0.500 0.000 1
Pa1 Pa 0.000 0.000 0.637 1
In1 In 0.500 0.500 0.553 1
Se1 Se 0.000 0.000 0.159 1
Se2 Se 0.254 0.254 0.691 1
Se3 Se 0.500 0.500 0.123 1
# VASP energy = -4.893 eV/atom

Q: Among the records above, which one has the lowest VASP energy?
A: number 6

Q: Which of these has the lowest VASP energy?
A: number 6